# 1
The following is a PBE calculation of a relaxed structure of Re2AgAu, from Alexandria.

Computed properties:
- distance to the lowest polymorph of the same formula (meV/atom) = 402
- DOS(E_F) (states/eV/f.u.) = 1.937
- formation enthalpy at 0 K (meV per atom) = 607

Cell: 4.973 4.973 4.973 Å, 136.16 127.74 70.52°
Positions (direct):
Re 0.000 0.000 0.000
Re 0.797 0.297 0.500
Ag 0.267 0.767 0.500
Au 0.526 0.526 0.000

---

# 2
The following is a PBE calculation of a relaxed structure of ReAg2Au, from Alexandria.

Computed properties:
- distance to the lowest polymorph of the same formula (meV/atom) = 381
- DOS(E_F) (states/eV/f.u.) = 3.157
- formation enthalpy at 0 K (meV per atom) = 760

Cell: 4.839 4.839 4.839 Å, 127.94 127.94 76.72°
Positions (direct):
Re 0.000 0.000 0.000
Ag 0.250 0.750 0.500
Ag 0.500 0.500 0.000
Au 0.750 0.250 0.500

---

# 3
The following is a PBE calculation of a relaxed structure of Re2AgAu, from Alexandria.

Computed properties:
- distance to the lowest polymorph of the same formula (meV/atom) = 340
- DOS(E_F) (states/eV/f.u.) = 3.712
- formation enthalpy at 0 K (meV per atom) = 546

Cell: 4.870 4.870 5.187 Å, 96.37 96.37 32.00°
Positions (direct):
Re 0.000 0.000 0.000
Re 0.247 0.247 0.808
Ag 0.497 0.497 0.516
Au 0.745 0.745 0.294

---

Question: Number 1 is which compound?
Answer: Re2AgAu